[1]
4
Lattice="-1.9973 4.4101 2.7005 -3.9767 -0.6483 3.8074 1.1621 0.7208 5.3722" Properties=species:S:1:pos:R:3 comment="GGA-PBE BaMg2In, optimized geometry" total_energy_ev_per_cell=-8.468 delta_e_f_ev_per_fu=-0.62 dos_ef_per_ev_fu=2.244 pbc="T T T"
Mg 0.0000 0.0000 0.0000
Mg -1.2030 1.1207 2.9700
Ba -2.4059 2.2413 5.9401
In -3.6089 3.3620 8.9101

[2]
5
Lattice="-0.1243 -1.4266 3.4946 5.6694 -2.4144 -0.7839 1.5383 3.1738 1.3504" Properties=species:S:1:pos:R:3 comment="GGA-PBE CuSbRuF2, optimized geometry" total_energy_ev_per_cell=-23.453 dos_ef_per_ev_fu=3.355 pbc="T T T"
Sb 2.8347 -1.2072 -0.3920
F 0.7692 1.5869 0.6752
F -0.0622 -0.7133 1.7473
Cu 0.0000 0.0000 0.0000
Ru 3.5417 -0.3336 2.0305

[3]
5
Lattice="-4.7856 -1.0165 -0.1496 0.6339 -3.4818 3.3813 -0.8086 3.2866 3.5358" Properties=species:S:1:pos:R:3 comment="GGA-PBE MnHgMo3, optimized geometry" total_energy_ev_per_cell=-26.320 delta_e_f_ev_per_fu=15.65 dos_ef_per_ev_fu=12.217 pbc="T T T"
Mo 0.3170 -1.7409 1.6906
Mo -0.4043 1.6433 1.7679
Mo -2.3928 -0.5083 -0.0748
Mn -2.4802 -0.6059 3.3838
Hg 0.0000 0.0000 0.0000

[4]
8
Lattice="3.6920 0.0000 0.0000 0.0000 6.2622 0.0959 0.0000 -2.1987 6.3713" Properties=species:S:1:pos:R:3 comment="GGA-PBE Ba2YPaN4, optimized geometry" total_energy_ev_per_cell=-62.465 dos_ef_per_ev_fu=0.715 pbc="T T T"
Ba 1.8460 -1.0994 3.1856
Ba 0.0000 2.0318 3.2336
Y 1.8460 3.1311 0.0480
Pa 0.0000 0.0000 0.0000
N 1.8460 0.9505 1.2182
N 1.8460 3.1130 5.2490
N 0.0000 -0.2322 5.1916
N 0.0000 4.2957 1.2756

[5]
3
Lattice="-2.8315 -3.3972 -2.7321 0.1442 -0.3143 5.1869 -2.3851 1.8447 0.1781" Properties=species:S:1:pos:R:3 comment="GGA-PBE Pb2W, optimized geometry" total_energy_ev_per_cell=-17.021 delta_e_f_ev_per_fu=3.35 dos_ef_per_ev_fu=2.144 pbc="T T T"
Pb -2.4282 -1.9144 -0.0485
Pb -2.6442 0.0476 2.6814
W -2.8315 -3.3972 -2.7321

[6]
5
Lattice="5.1437 0.0000 0.0000 0.0000 4.8345 0.0000 0.0000 0.0000 5.1437" Properties=species:S:1:pos:R:3 comment="GGA-PBE AlReAg2Hg, optimized geometry" total_energy_ev_per_cell=-13.853 delta_e_f_ev_per_fu=8.34 dos_ef_per_ev_fu=3.531 pbc="T T T"
Re 2.5718 2.4173 2.5718
Hg 0.0000 0.0000 0.0000
Ag 0.0000 0.0000 2.5718
Ag 2.5718 0.0000 0.0000
Al 0.0000 2.4173 0.0000